DFT (GGA-PBE) results for a geometry-optimized Re3Si structure.

- raw total energy (eV per atom) = -10.453
- relative energy among the computed polymorphs (eV per atom) = 0.341
- ΔE_f (raw) (meV/atom) = 239

Cell lengths 5.4411, 5.4411, 8.9960 Å; angles 90.00, 90.00, 120.00 degrees
Closest atoms and distances in Å follow each position.
Fractional positions:
Re  0.0000  0.5000  0.0000  8 Re 2.72-2.76, 4 Si 2.72-2.74
Re  0.0000  0.5000  0.5000  8 Re 2.72-2.76, 4 Si 2.72-2.74
Re  0.1623  0.3246  0.2500  8 Re 2.65-2.79, 4 Si 2.72
Re  0.1623  0.8377  0.2500  8 Re 2.65-2.79, 4 Si 2.72
Re  0.3246  0.1623  0.7500  8 Re 2.65-2.79, 4 Si 2.72
Re  0.5000  0.0000  0.0000  8 Re 2.72-2.76, 4 Si 2.72-2.74
Re  0.5000  0.0000  0.5000  8 Re 2.72-2.76, 4 Si 2.72-2.74
Re  0.5000  0.5000  0.0000  8 Re 2.72-2.76, 4 Si 2.72-2.74
Re  0.5000  0.5000  0.5000  8 Re 2.72-2.76, 4 Si 2.72-2.74
Re  0.6754  0.8377  0.2500  8 Re 2.65-2.79, 4 Si 2.72
Re  0.8377  0.1623  0.7500  8 Re 2.65-2.79, 4 Si 2.72
Re  0.8377  0.6754  0.7500  8 Re 2.65-2.79, 4 Si 2.72
Si  0.0000  0.0000  0.0000  12 Re 2.72
Si  0.0000  0.0000  0.5000  12 Re 2.72
Si  0.3333  0.6667  0.7500  12 Re 2.72-2.74
Si  0.6667  0.3333  0.2500  12 Re 2.72-2.74

---

DFT (GGA-PBE) results for a geometry-optimized Re3Si structure.

- raw total energy (eV per atom) = -10.543
- relative energy among the computed polymorphs (eV per atom) = 0.251
- ΔE_f (raw) (meV/atom) = 149

Cell lengths 5.4682, 5.4682, 4.4402 Å; angles 90.00, 90.00, 120.00 degrees
Closest atoms and distances in Å follow each position.
Fractional positions:
Re  0.1708  0.3417  0.2500  8 Re 2.67-2.80, 4 Si 2.70-2.73
Re  0.1708  0.8292  0.2500  8 Re 2.67-2.80, 4 Si 2.70-2.73
Re  0.3417  0.1708  0.7500  8 Re 2.67-2.80, 4 Si 2.70-2.73
Re  0.6583  0.8292  0.2500  8 Re 2.67-2.80, 4 Si 2.70-2.73
Re  0.8292  0.1708  0.7500  8 Re 2.67-2.80, 4 Si 2.70-2.73
Re  0.8292  0.6583  0.7500  8 Re 2.67-2.80, 4 Si 2.70-2.73
Si  0.3333  0.6667  0.7500  12 Re 2.70-2.73
Si  0.6667  0.3333  0.2500  12 Re 2.70-2.73

---

DFT (GGA-PBE) results for a geometry-optimized Re4Si23 structure.

- raw total energy (eV per atom) = -5.563
- ΔE_f (raw) (meV/atom) = 901

Cell lengths 10.0743, 10.0743, 10.0743 Å; angles 90.00, 90.00, 90.00 degrees
Closest atoms and distances in Å follow each position.
Fractional positions:
Re  0.0000  0.0000  0.0000  20 Si 3.17-3.34
Re  0.0000  0.2500  0.5000  20 Si 3.36-3.76
Re  0.0000  0.7500  0.5000  20 Si 3.36-3.76
Re  0.2500  0.5000  0.0000  20 Si 3.36-3.76
Re  0.5000  0.0000  0.2500  20 Si 3.36-3.76
Re  0.5000  0.0000  0.7500  20 Si 3.36-3.76
Re  0.5000  0.5000  0.5000  20 Si 3.17-3.34
Re  0.7500  0.5000  0.0000  20 Si 3.36-3.76
Si  0.0000  0.3112  0.1156  4 Si 2.33-2.34
Si  0.0000  0.3112  0.8844  4 Si 2.33-2.34
Si  0.0000  0.5000  0.2500  4 Si 2.33
Si  0.0000  0.5000  0.7500  4 Si 2.33
Si  0.0000  0.6888  0.1156  4 Si 2.33-2.34
Si  0.0000  0.6888  0.8844  4 Si 2.33-2.34
Si  0.1156  0.0000  0.3112  4 Si 2.33-2.34
Si  0.1156  0.0000  0.6888  4 Si 2.33-2.34
Si  0.1816  0.1816  0.1816  4 Si 2.34-2.39
Si  0.1816  0.1816  0.8184  4 Si 2.34-2.39
Si  0.1816  0.8184  0.1816  4 Si 2.34-2.39
Si  0.1816  0.8184  0.8184  4 Si 2.34-2.39
Si  0.1888  0.5000  0.3844  4 Si 2.33-2.34
Si  0.1888  0.5000  0.6156  4 Si 2.33-2.34
Si  0.2500  0.0000  0.5000  4 Si 2.33
Si  0.3112  0.1156  0.0000  4 Si 2.33-2.34
Si  0.3112  0.8844  0.0000  4 Si 2.33-2.34
Si  0.3184  0.3184  0.3184  4 Si 2.34-2.39
Si  0.3184  0.3184  0.6816  4 Si 2.34-2.39
Si  0.3184  0.6816  0.3184  4 Si 2.34-2.39
Si  0.3184  0.6816  0.6816  4 Si 2.34-2.39
Si  0.3844  0.1888  0.5000  4 Si 2.33-2.34
Si  0.3844  0.8112  0.5000  4 Si 2.33-2.34
Si  0.5000  0.2500  0.0000  4 Si 2.33
Si  0.5000  0.3844  0.1888  4 Si 2.33-2.34
Si  0.5000  0.3844  0.8112  4 Si 2.33-2.34
Si  0.5000  0.6156  0.1888  4 Si 2.33-2.34
Si  0.5000  0.6156  0.8112  4 Si 2.33-2.34
Si  0.5000  0.7500  0.0000  4 Si 2.33
Si  0.6156  0.1888  0.5000  4 Si 2.33-2.34
Si  0.6156  0.8112  0.5000  4 Si 2.33-2.34
Si  0.6816  0.3184  0.3184  4 Si 2.34-2.39
Si  0.6816  0.3184  0.6816  4 Si 2.34-2.39
Si  0.6816  0.6816  0.3184  4 Si 2.34-2.39
Si  0.6816  0.6816  0.6816  4 Si 2.34-2.39
Si  0.6888  0.1156  0.0000  4 Si 2.33-2.34
Si  0.6888  0.8844  0.0000  4 Si 2.33-2.34
Si  0.7500  0.0000  0.5000  4 Si 2.33
Si  0.8112  0.5000  0.3844  4 Si 2.33-2.34
Si  0.8112  0.5000  0.6156  4 Si 2.33-2.34
Si  0.8184  0.1816  0.1816  4 Si 2.34-2.39
Si  0.8184  0.1816  0.8184  4 Si 2.34-2.39
Si  0.8184  0.8184  0.1816  4 Si 2.34-2.39
Si  0.8184  0.8184  0.8184  4 Si 2.34-2.39
Si  0.8844  0.0000  0.3112  4 Si 2.33-2.34
Si  0.8844  0.0000  0.6888  4 Si 2.33-2.34

---

DFT (GGA-PBE) results for a geometry-optimized ReSi3 structure.

- raw total energy (eV per atom) = -6.970
- ΔE_f (raw) (meV/atom) = 210

Cell lengths 3.0052, 3.0052, 7.4876 Å; angles 90.00, 90.00, 120.00 degrees
Closest atoms and distances in Å follow each position.
Fractional positions:
Re  0.0000  0.0000  0.0000  6 Si 2.50
Si  0.0000  0.0000  0.5000  6 Si 2.60
Si  0.6667  0.3333  0.2411  3 Re 2.50, 3 Si 2.60
Si  0.6667  0.3333  0.7589  3 Re 2.50, 3 Si 2.60

---

DFT (GGA-PBE) results for a geometry-optimized ReSi2 structure.

- raw total energy (eV per atom) = -7.728
- ΔE_f (raw) (meV/atom) = 36

Cell lengths 4.6286, 4.6286, 6.3406 Å; angles 100.97, 100.97, 38.66 degrees
Closest atoms and distances in Å follow each position.
Fractional positions:
Re  0.0000  0.0000  0.0000  8 Si 2.45-2.72
Re  0.6730  0.6730  0.4036  8 Si 2.46-2.64
Si  0.0303  0.0303  0.6144  3 Re 2.51-2.52, 5 Si 2.52-2.67
Si  0.3239  0.3239  0.7160  5 Si 2.52-2.70, 4 Re 2.61-2.64
Si  0.3862  0.3862  0.2888  5 Re 2.46-2.72, 4 Si 2.57-2.67
Si  0.7193  0.7193  0.0075  4 Re 2.45-2.62, 4 Si 2.57-2.70

---

DFT (GGA-PBE) results for a geometry-optimized Re2Si structure.

- raw total energy (eV per atom) = -10.194
- relative energy among the computed polymorphs (eV per atom) = 0.168
- ΔE_f (raw) (meV/atom) = -88

Cell lengths 6.4743, 9.7316, 5.4635 Å; angles 90.00, 97.46, 90.00 degrees
Closest atoms and distances in Å follow each position.
Fractional positions:
Re  0.0038  0.0468  0.2301  2 Si 2.52-2.57, 5 Re 2.64-2.76
Re  0.0038  0.4532  0.7301  2 Si 2.52-2.57, 5 Re 2.64-2.76
Re  0.1525  0.7127  0.9331  3 Si 2.53-2.62, 8 Re 2.66-2.83
Re  0.1525  0.7873  0.4331  3 Si 2.53-2.62, 8 Re 2.66-2.83
Re  0.2087  0.1961  0.8830  3 Si 2.52-2.60, 3 Re 2.73-2.81
Re  0.2087  0.3039  0.3830  3 Si 2.52-2.60, 3 Re 2.73-2.81
Re  0.3605  0.5506  0.6195  6 Re 2.56-2.84, 5 Si 2.57-2.69
Re  0.3605  0.9494  0.1195  6 Re 2.56-2.84, 5 Si 2.57-2.69
Re  0.6395  0.0506  0.8805  6 Re 2.56-2.84, 5 Si 2.57-2.69
Re  0.6395  0.4494  0.3805  6 Re 2.56-2.84, 5 Si 2.57-2.69
Re  0.7913  0.6961  0.6170  3 Si 2.52-2.60, 3 Re 2.73-2.81
Re  0.7913  0.8039  0.1170  3 Si 2.52-2.60, 3 Re 2.73-2.81
Re  0.8475  0.2127  0.5669  3 Si 2.53-2.62, 8 Re 2.66-2.83
Re  0.8475  0.2873  0.0669  3 Si 2.53-2.62, 8 Re 2.66-2.83
Re  0.9962  0.5468  0.2699  2 Si 2.52-2.57, 5 Re 2.64-2.76
Re  0.9962  0.9532  0.7699  2 Si 2.52-2.57, 5 Re 2.64-2.76
Si  0.3125  0.0284  0.5619  6 Re 2.52-2.62, 2 Si 2.66
Si  0.3125  0.4716  0.0619  6 Re 2.52-2.62, 2 Si 2.66
Si  0.4762  0.7000  0.2708  7 Re 2.52-2.69, 1 Si 2.66
Si  0.4762  0.8000  0.7708  7 Re 2.52-2.69, 1 Si 2.66
Si  0.5238  0.2000  0.2292  7 Re 2.52-2.69, 1 Si 2.66
Si  0.5238  0.3000  0.7292  7 Re 2.52-2.69, 1 Si 2.66
Si  0.6875  0.5284  0.9381  6 Re 2.52-2.62, 2 Si 2.66
Si  0.6875  0.9716  0.4381  6 Re 2.52-2.62, 2 Si 2.66

---

DFT (GGA-PBE) results for a geometry-optimized ReSi3 structure.

- raw total energy (eV per atom) = -7.258
- ΔE_f (raw) (meV/atom) = -78

Cell lengths 4.7840, 4.7840, 4.7840 Å; angles 142.87, 80.84, 111.22 degrees
Closest atoms and distances in Å follow each position.
Fractional positions:
Re  0.0000  0.0000  0.0000  8 Si 2.43-2.56
Si  0.0969  0.7840  0.3129  1 Si 2.40, 3 Re 2.56
Si  0.4710  0.7840  0.6871  1 Si 2.40, 3 Re 2.56
Si  0.6490  0.1490  0.5000  2 Si 2.40, 2 Re 2.43

---

DFT (GGA-PBE) results for a geometry-optimized Re2Si structure.

- raw total energy (eV per atom) = -10.241
- relative energy among the computed polymorphs (eV per atom) = 0.121
- ΔE_f (raw) (meV/atom) = -135

Cell lengths 6.8333, 6.8333, 4.4925 Å; angles 90.00, 90.00, 156.05 degrees
Closest atoms and distances in Å follow each position.
Fractional positions:
Re  0.0559  0.9441  0.7500  2 Si 2.62, 10 Re 2.70-2.84
Re  0.3808  0.6192  0.7500  4 Si 2.57-2.62, 8 Re 2.74-2.84
Re  0.6192  0.3808  0.2500  4 Si 2.57-2.62, 8 Re 2.74-2.84
Re  0.9441  0.0559  0.2500  2 Si 2.62, 10 Re 2.70-2.84
Si  0.2793  0.7207  0.2500  6 Re 2.57-2.62, 6 Si 2.77-2.84
Si  0.7207  0.2793  0.7500  6 Re 2.57-2.62, 6 Si 2.77-2.84

---

DFT (GGA-PBE) results for a geometry-optimized Re2Si structure.

- raw total energy (eV per atom) = -9.978
- relative energy among the computed polymorphs (eV per atom) = 0.385
- ΔE_f (raw) (meV/atom) = 129

Cell lengths 5.9489, 5.9489, 3.9528 Å; angles 90.00, 90.00, 142.11 degrees
Closest atoms and distances in Å follow each position.
Fractional positions:
Re  0.0706  0.9294  0.7500  4 Re 2.54-2.72, 6 Si 2.69-2.78
Re  0.2593  0.7407  0.2500  4 Si 2.56-2.67, 6 Re 2.72-2.77
Re  0.7407  0.2593  0.7500  4 Si 2.56-2.67, 6 Re 2.72-2.77
Re  0.9294  0.0706  0.2500  4 Re 2.54-2.72, 6 Si 2.69-2.78
Si  0.4042  0.5958  0.7500  10 Re 2.56-2.78
Si  0.5958  0.4042  0.2500  10 Re 2.56-2.78

---

> Which of these has the lowest ΔE_f (raw)?

number 8

---

> The lowest ΔE_f (raw) belongs to which entry?

number 8

---

> What is the raw total energy in the second record?

-10.543 eV per atom